TlInCl2: optimized geometry, PBE-GGA.

Computed properties:
- Fermi-level density of states: 0.000 states/eV per atom
- Energy relative to the lowest polymorph listed for this composition: 0.315 eV per atom
- ΔE_f (raw): -0.593 eV per atom
- DFT total energy: -2.79 eV/atom
- Volume: 110.4 Å³/f.u.

Geometry as extended XYZ:
```
4
Lattice="0.000 3.808 3.808 3.808 0.000 3.808 3.808 3.808 0.000" Properties=species:S:1:pos:R:3 pbc="T T T"
Tl 0.000 0.000 0.000
In 1.904 1.904 1.904
Cl 3.808 3.808 3.808
Cl 5.711 5.711 5.711
```